A plane-wave DFT calculation with PBE was carried out for a relaxed Sm4Se4Br3 crystal.

abc: 4.2018 8.2923 9.7953
angles: 115.04 102.39 90.00
Sites, in units of the cell vectors:
Sm (0.2309, 0.7309, 0.4618)
Sm (0.7691, 0.2691, 0.5382)
Sm (0.5000, 0.7825, 0.0000)
Sm (0.5000, 0.2175, 0.0000)
Se (0.3345, 0.1257, 0.6689)
Se (0.6655, 0.4568, 0.3311)
Se (0.6655, 0.8743, 0.3311)
Se (0.3345, 0.5432, 0.6689)
Br (0.0891, 0.0891, 0.1782)
Br (0.9109, 0.9109, 0.8218)
Br (0.0000, 0.5000, 0.0000)

Results
theoretical density	6.395	Mg/m³
E_form (uncorrected)	-1.66	eV per atom
crystal system	orthorhombic
electronic total energy	-5.1028	eV per atom
Fermi-level density of states	1.31	states/eV per cell